(1)
This record from Alexandria describes HfVNi2 after structural relaxation. The functional is PBE.

extended XYZ file:
```
4
Lattice="2.030 1.172 4.109 -2.030 1.172 4.109 0.000 -2.344 4.109" Properties=species:S:1:pos:R:3 pbc="T T T"
Hf 0.000 0.000 0.000
V 0.000 0.000 6.163
Ni 0.000 0.000 2.667
Ni 0.000 0.000 9.658
```

Calculated values
The value obtained for the offset from the most stable computed form is 0.000 eV per atom. As for the density of states at the Fermi level: 3.8 states/eV per cell. The total energy comes out at -7.877 eV/atom. The calculation puts the size of the total moment at 0.00 μB per formula unit. Its calculated formation energy is -0.22 eV per atom.

(2)
This record from Alexandria describes HfV2ZnNi after structural relaxation. The functional is PBE.

extended XYZ file:
```
5
Lattice="4.512 0.000 0.000 0.000 4.512 0.000 0.000 0.000 4.875" Properties=species:S:1:pos:R:3 pbc="T T T"
Hf 0.000 0.000 0.000
V 0.000 2.256 2.438
V 2.256 0.000 2.438
Zn 0.000 0.000 2.438
Ni 2.256 2.256 0.000
```

Calculated values
As for the density of states at the Fermi level: 6.6 states/eV per cell. The total energy comes out at -5.768 eV/atom. The calculation puts the size of the total moment at 4.89 μB per formula unit. Its calculated formation energy is 1.28 eV per atom.

(3)
This record from Alexandria describes HfNi2W after structural relaxation. The functional is PBE.

extended XYZ file:
```
8
Lattice="-3.426 3.426 2.673 3.426 -3.426 2.673 3.426 3.426 -2.673" Properties=species:S:1:pos:R:3 pbc="T T T"
Hf 0.000 0.000 0.000
Hf 0.000 3.426 1.336
Ni 1.713 -1.578 2.005
Ni 1.848 1.713 0.668
Ni 1.713 5.003 -0.668
Ni 1.578 1.713 3.341
W 3.426 0.000 1.336
W 0.000 0.000 2.673
```

Calculated values
The value obtained for the offset from the most stable computed form is 0.329 eV per atom. As for the density of states at the Fermi level: 8.3 states/eV per cell. The total energy comes out at -8.301 eV/atom. The calculation puts the size of the total moment at 0.00 μB per formula unit. Its calculated formation energy is 0.32 eV per atom.

- What is the formula in the third record?
  HfNi2W

What did the second record say?
This record from Alexandria describes HfV2ZnNi after structural relaxation. The functional is PBE.

extended XYZ file:
```
5
Lattice="4.512 0.000 0.000 0.000 4.512 0.000 0.000 0.000 4.875" Properties=species:S:1:pos:R:3 pbc="T T T"
Hf 0.000 0.000 0.000
V 0.000 2.256 2.438
V 2.256 0.000 2.438
Zn 0.000 0.000 2.438
Ni 2.256 2.256 0.000
```

Calculated values
As for the density of states at the Fermi level: 6.6 states/eV per cell. The total energy comes out at -5.768 eV/atom. The calculation puts the size of the total moment at 4.89 μB per formula unit. Its calculated formation energy is 1.28 eV per atom.